This record from Alexandria via LeMat-Bulk describes crystalline Pr12Ni6Au at its relaxed geometry. The functional is PBE.

Cell lengths 10.051, 10.051, 10.051 Å; angles 90.00, 90.00, 90.00 degrees
Space group Im-3 (No. 204)
Inequivalent atoms, fractional coordinates:
Pr  0.000  0.304  0.185 [24 per cell]
Ni  0.000  0.122  0.500 [12 per cell]
Au  0.000  0.000  0.000 [2 per cell]

- Formation energy from the elements: -0.261 eV/atom
- DFT total energy: -5.278 eV/atom
- Spin magnetization: 0.00 μB per formula unit
- N(E_F): 18.29 states/eV/f.u.